Version w
# SrCu3Ge (PBE-GGA, relaxed)
# DOS(E_F) = 1.7 states/eV/f.u.
# Crystal system = cubic
data_SrCu3Ge
_symmetry_space_group_name_H-M 'P 1'
_symmetry_Int_Tables_number 1
_cell_length_a 4.6633
_cell_length_b 4.6633
_cell_length_c 4.6633
_cell_angle_alpha 90.00
_cell_angle_beta 90.00
_cell_angle_gamma 90.00
loop_
_symmetry_equiv_pos_as_xyz
'x,y,z'
loop_
_atom_site_label
_atom_site_type_symbol
_atom_site_fract_x
_atom_site_fract_y
_atom_site_fract_z
Sr1 Sr 0.0000 0.0000 0.0000
Cu1 Cu 0.0000 0.5000 0.5000
Cu2 Cu 0.5000 0.0000 0.5000
Cu3 Cu 0.5000 0.5000 0.0000
Ge1 Ge 0.5000 0.5000 0.5000

Version x
# SrCu3Ge (PBE-GGA, relaxed)
# DOS(E_F) = 2.8 states/eV/f.u.
# Crystal system = cubic
data_SrCu3Ge
_symmetry_space_group_name_H-M 'P 1'
_symmetry_Int_Tables_number 1
_cell_length_a 5.2298
_cell_length_b 5.2298
_cell_length_c 5.2298
_cell_angle_alpha 90.00
_cell_angle_beta 90.00
_cell_angle_gamma 90.00
loop_
_symmetry_equiv_pos_as_xyz
'x,y,z'
loop_
_atom_site_label
_atom_site_type_symbol
_atom_site_fract_x
_atom_site_fract_y
_atom_site_fract_z
Sr1 Sr 0.0000 0.0000 0.0000
Cu1 Cu 0.0000 0.0000 0.5000
Cu2 Cu 0.0000 0.5000 0.0000
Cu3 Cu 0.5000 0.0000 0.0000
Ge1 Ge 0.5000 0.5000 0.5000

So which one is most stable? That would be version w, about 138.0 kJ/mol of atoms below the next structure.

Version w
# Ta2CuGe2 (PBE-GGA, relaxed)
# DOS(E_F) = 2.2 states/eV/f.u.
# Crystal system = tetragonal
data_Ta2CuGe2
_symmetry_space_group_name_H-M 'P 1'
_symmetry_Int_Tables_number 1
_cell_length_a 6.9413
_cell_length_b 6.9413
_cell_length_c 3.5709
_cell_angle_alpha 90.00
_cell_angle_beta 90.00
_cell_angle_gamma 90.00
loop_
_symmetry_equiv_pos_as_xyz
'x,y,z'
loop_
_atom_site_label
_atom_site_type_symbol
_atom_site_fract_x
_atom_site_fract_y
_atom_site_fract_z
Ta1 Ta 0.1469 0.3531 0.0000
Ta2 Ta 0.3531 0.8531 0.0000
Ta3 Ta 0.6469 0.1469 0.0000
Ta4 Ta 0.8531 0.6469 0.0000
Cu1 Cu 0.0000 0.0000 0.0000
Cu2 Cu 0.5000 0.5000 0.0000
Ge1 Ge 0.1531 0.6531 0.5000
Ge2 Ge 0.3469 0.1531 0.5000
Ge3 Ge 0.6531 0.8469 0.5000
Ge4 Ge 0.8469 0.3469 0.5000

Version x
# Ta2CuGe2 (PBE-GGA, relaxed)
# DOS(E_F) = 2.9 states/eV/f.u.
# Crystal system = tetragonal
data_Ta2CuGe2
_symmetry_space_group_name_H-M 'P 1'
_symmetry_Int_Tables_number 1
_cell_length_a 6.6759
_cell_length_b 6.6759
_cell_length_c 3.6296
_cell_angle_alpha 90.00
_cell_angle_beta 90.00
_cell_angle_gamma 90.00
loop_
_symmetry_equiv_pos_as_xyz
'x,y,z'
loop_
_atom_site_label
_atom_site_type_symbol
_atom_site_fract_x
_atom_site_fract_y
_atom_site_fract_z
Ta1 Ta 0.1601 0.3399 0.0000
Ta2 Ta 0.3399 0.8399 0.0000
Ta3 Ta 0.6601 0.1601 0.0000
Ta4 Ta 0.8399 0.6601 0.0000
Cu1 Cu 0.0000 0.0000 0.5000
Cu2 Cu 0.5000 0.5000 0.5000
Ge1 Ge 0.1415 0.6415 0.5000
Ge2 Ge 0.3585 0.1415 0.5000
Ge3 Ge 0.6415 0.8585 0.5000
Ge4 Ge 0.8585 0.3585 0.5000

So which one is most stable? That would be version x, about 10.1 kJ/mol of atoms below the next structure.

Version w
# TaCuGe3 (PBE-GGA, relaxed)
# DOS(E_F) = 4.7 states/eV/f.u.
# Crystal system = cubic
data_TaCuGe3
_symmetry_space_group_name_H-M 'P 1'
_symmetry_Int_Tables_number 1
_cell_length_a 4.5927
_cell_length_b 4.5927
_cell_length_c 4.5927
_cell_angle_alpha 90.00
_cell_angle_beta 90.00
_cell_angle_gamma 90.00
loop_
_symmetry_equiv_pos_as_xyz
'x,y,z'
loop_
_atom_site_label
_atom_site_type_symbol
_atom_site_fract_x
_atom_site_fract_y
_atom_site_fract_z
Ta1 Ta 0.0000 0.0000 0.0000
Cu1 Cu 0.5000 0.5000 0.5000
Ge1 Ge 0.0000 0.5000 0.5000
Ge2 Ge 0.5000 0.0000 0.5000
Ge3 Ge 0.5000 0.5000 0.0000

Version x
# TaCuGe3 (PBE-GGA, relaxed)
# DOS(E_F) = 2.2 states/eV/f.u.
# Crystal system = cubic
data_TaCuGe3
_symmetry_space_group_name_H-M 'P 1'
_symmetry_Int_Tables_number 1
_cell_length_a 5.0062
_cell_length_b 5.0062
_cell_length_c 5.0062
_cell_angle_alpha 90.00
_cell_angle_beta 90.00
_cell_angle_gamma 90.00
loop_
_symmetry_equiv_pos_as_xyz
'x,y,z'
loop_
_atom_site_label
_atom_site_type_symbol
_atom_site_fract_x
_atom_site_fract_y
_atom_site_fract_z
Ta1 Ta 0.0000 0.0000 0.0000
Cu1 Cu 0.5000 0.5000 0.5000
Ge1 Ge 0.0000 0.0000 0.5000
Ge2 Ge 0.0000 0.5000 0.0000
Ge3 Ge 0.5000 0.0000 0.0000

So which one is most stable? That would be version x, about 13.4 kJ/mol of atoms below the next structure.

Version w
# TaCu2GeW (PBE-GGA, relaxed)
# DOS(E_F) = 3.7 states/eV/f.u.
# Crystal system = tetragonal
data_TaCu2GeW
_symmetry_space_group_name_H-M 'P 1'
_symmetry_Int_Tables_number 1
_cell_length_a 4.2663
_cell_length_b 4.2663
_cell_length_c 4.8646
_cell_angle_alpha 90.00
_cell_angle_beta 90.00
_cell_angle_gamma 90.00
loop_
_symmetry_equiv_pos_as_xyz
'x,y,z'
loop_
_atom_site_label
_atom_site_type_symbol
_atom_site_fract_x
_atom_site_fract_y
_atom_site_fract_z
Ta1 Ta 0.0000 0.0000 0.0000
Cu1 Cu 0.0000 0.5000 0.5000
Cu2 Cu 0.5000 0.0000 0.5000
Ge1 Ge 0.0000 0.0000 0.5000
W1 W 0.5000 0.5000 0.0000

Version x
# TaCu2GeW (PBE-GGA, relaxed)
# DOS(E_F) = 2.1 states/eV/f.u.
# Crystal system = tetragonal
data_TaCu2GeW
_symmetry_space_group_name_H-M 'P 1'
_symmetry_Int_Tables_number 1
_cell_length_a 4.7326
_cell_length_b 4.7326
_cell_length_c 4.7694
_cell_angle_alpha 90.00
_cell_angle_beta 90.00
_cell_angle_gamma 90.00
loop_
_symmetry_equiv_pos_as_xyz
'x,y,z'
loop_
_atom_site_label
_atom_site_type_symbol
_atom_site_fract_x
_atom_site_fract_y
_atom_site_fract_z
Ta1 Ta 0.0000 0.0000 0.0000
Cu1 Cu 0.0000 0.5000 0.5000
Cu2 Cu 0.5000 0.0000 0.5000
Ge1 Ge 0.5000 0.5000 0.0000
W1 W 0.0000 0.0000 0.5000

So which one is most stable? That would be version w, about 30.9 kJ/mol of atoms below the next structure.

Version w
# TbCu4Ge2 (PBE-GGA, relaxed)
# DOS(E_F) = 3.1 states/eV/f.u.
# Crystal system = trigonal
data_TbCu4Ge2
_symmetry_space_group_name_H-M 'P 1'
_symmetry_Int_Tables_number 1
_cell_length_a 7.8227
_cell_length_b 7.8227
_cell_length_c 7.8227
_cell_angle_alpha 30.71
_cell_angle_beta 30.71
_cell_angle_gamma 30.71
loop_
_symmetry_equiv_pos_as_xyz
'x,y,z'
loop_
_atom_site_label
_atom_site_type_symbol
_atom_site_fract_x
_atom_site_fract_y
_atom_site_fract_z
Tb1 Tb 0.0000 0.0000 0.0000
Cu1 Cu 0.1408 0.1408 0.1408
Cu2 Cu 0.4368 0.4368 0.4368
Cu3 Cu 0.5632 0.5632 0.5632
Cu4 Cu 0.8592 0.8592 0.8592
Ge1 Ge 0.2526 0.2526 0.2526
Ge2 Ge 0.7474 0.7474 0.7474

Version x
# TbCu4Ge2 (PBE-GGA, relaxed)
# DOS(E_F) = 3.5 states/eV/f.u.
# Crystal system = tetragonal
data_TbCu4Ge2
_symmetry_space_group_name_H-M 'P 1'
_symmetry_Int_Tables_number 1
_cell_length_a 7.4055
_cell_length_b 7.4055
_cell_length_c 3.9678
_cell_angle_alpha 90.00
_cell_angle_beta 90.00
_cell_angle_gamma 90.00
loop_
_symmetry_equiv_pos_as_xyz
'x,y,z'
loop_
_atom_site_label
_atom_site_type_symbol
_atom_site_fract_x
_atom_site_fract_y
_atom_site_fract_z
Tb1 Tb 0.0000 0.0000 0.0000
Tb2 Tb 0.5000 0.5000 0.5000
Cu1 Cu 0.0900 0.3466 0.5000
Cu2 Cu 0.1534 0.5900 0.0000
Cu3 Cu 0.3466 0.0900 0.5000
Cu4 Cu 0.4100 0.8466 0.0000
Cu5 Cu 0.5900 0.1534 0.0000
Cu6 Cu 0.6534 0.9100 0.5000
Cu7 Cu 0.8466 0.4100 0.0000
Cu8 Cu 0.9100 0.6534 0.5000
Ge1 Ge 0.2165 0.7835 0.5000
Ge2 Ge 0.2835 0.2835 0.0000
Ge3 Ge 0.7165 0.7165 0.0000
Ge4 Ge 0.7835 0.2165 0.5000

So which one is most stable? That would be version x, about 1.4 kJ/mol of atoms below the next structure.

Version w
# CuTcGe2 (PBE-GGA, relaxed)
# DOS(E_F) = 2.2 states/eV/f.u.
# Crystal system = tetragonal
data_CuTcGe2
_symmetry_space_group_name_H-M 'P 1'
_symmetry_Int_Tables_number 1
_cell_length_a 4.2853
_cell_length_b 4.2853
_cell_length_c 3.1541
_cell_angle_alpha 90.00
_cell_angle_beta 90.00
_cell_angle_gamma 90.00
loop_
_symmetry_equiv_pos_as_xyz
'x,y,z'
loop_
_atom_site_label
_atom_site_type_symbol
_atom_site_fract_x
_atom_site_fract_y
_atom_site_fract_z
Cu1 Cu 0.0000 0.0000 0.0000
Tc1 Tc 0.5000 0.5000 0.0000
Ge1 Ge 0.0000 0.5000 0.5000
Ge2 Ge 0.5000 0.0000 0.5000

Version x
# CuTcGe2 (PBE-GGA, relaxed)
# DOS(E_F) = 1.2 states/eV/f.u.
# Crystal system = cubic
data_CuTcGe2
_symmetry_space_group_name_H-M 'P 1'
_symmetry_Int_Tables_number 1
_cell_length_a 4.3693
_cell_length_b 4.3693
_cell_length_c 4.3693
_cell_angle_alpha 60.00
_cell_angle_beta 60.00
_cell_angle_gamma 60.00
loop_
_symmetry_equiv_pos_as_xyz
'x,y,z'
loop_
_atom_site_label
_atom_site_type_symbol
_atom_site_fract_x
_atom_site_fract_y
_atom_site_fract_z
Cu1 Cu 0.0000 0.0000 0.0000
Tc1 Tc 0.5000 0.5000 0.5000
Ge1 Ge 0.2500 0.2500 0.2500
Ge2 Ge 0.7500 0.7500 0.7500

Version y
# CuTcGe2 (PBE-GGA, relaxed)
# DOS(E_F) = 2.3 states/eV/f.u.
# Crystal system = trigonal
data_CuTcGe2
_symmetry_space_group_name_H-M 'P 1'
_symmetry_Int_Tables_number 1
_cell_length_a 8.7170
_cell_length_b 8.7170
_cell_length_c 8.7170
_cell_angle_alpha 19.79
_cell_angle_beta 19.79
_cell_angle_gamma 19.79
loop_
_symmetry_equiv_pos_as_xyz
'x,y,z'
loop_
_atom_site_label
_atom_site_type_symbol
_atom_site_fract_x
_atom_site_fract_y
_atom_site_fract_z
Cu1 Cu 0.0000 0.0000 0.0000
Tc1 Tc 0.5000 0.5000 0.5000
Ge1 Ge 0.0922 0.0922 0.0922
Ge2 Ge 0.9078 0.9078 0.9078

So which one is most stable? That would be version y, about 4.1 kJ/mol of atoms below the next structure.